[1]
## NiC2 (PBE-GGA)

Data for NiC2 after structural relaxation.

Output
Excess energy over the best structure of this formula in the dataset (eV per atom): 2.233
Uncorrected energy (eV per cell): -130.20
Formation enthalpy at 0 K (eV per atom): 2.651
Density of states at the Fermi level (states/eV/cell): 15.0

a = 5.7733 Å, b = 5.7733 Å, c = 5.7733 Å
α = 90.00°, β = 90.00°, γ = 90.00°
Space group Fd-3m (No. 227, origin choice 2)
Inequivalent atoms, fractional coordinates:
Ni: 0.1250 0.1250 0.1250 [8 per cell]
C: 0.0000 0.0000 0.5000 [16 per cell]

[2]
## SmH4Pd3 (PBE-GGA)

Data for SmH4Pd3 after structural relaxation.

Output
Uncorrected energy (eV per cell): -73.53
Density of states at the Fermi level (states/eV/cell): 4.4

a = 5.5440 Å, b = 5.5440 Å, c = 5.5440 Å
α = 90.00°, β = 90.00°, γ = 90.00°
Space group Pm-3n (No. 223)
Inequivalent atoms, fractional coordinates:
Sm: 0.0000 0.0000 0.0000 [2 per cell]
H: 0.2500 0.2500 0.2500 [8 per cell]
Pd: 0.0000 0.2500 0.5000 [6 per cell]

[3]
## MgAsRu2 (PBE-GGA)

Data for MgAsRu2 after structural relaxation.

Output
Uncorrected energy (eV per cell): -73.87
Formation enthalpy at 0 K (eV per atom): 0.043
Density of states at the Fermi level (states/eV/cell): 16.5

a = 3.0183 Å, b = 3.0183 Å, c = 23.9003 Å
α = 90.00°, β = 90.00°, γ = 120.00°
Space group R-3m (No. 166, hexagonal axes)
Inequivalent atoms, fractional coordinates:
Mg: 0.0000 0.0000 0.0000 [3 per cell]
As: 0.0000 0.0000 0.5000 [3 per cell]
Ru: 0.0000 0.0000 0.2404 [6 per cell]

[4]
## YTlO (PBE-GGA)

Data for YTlO after structural relaxation.

Output
Excess energy over the best structure of this formula in the dataset (eV per atom): 0.309
Uncorrected energy (eV per cell): -38.08
Formation energy without anion corrections (eV per formula unit): -5.25
Density of states at the Fermi level (states/eV/cell): 2.9

a = 4.6075 Å, b = 4.6268 Å, c = 6.5435 Å
α = 90.00°, β = 105.17°, γ = 90.00°
Space group C2/m (No. 12)
Inequivalent atoms, fractional coordinates:
Y: 0.0000 0.0000 0.0000 [2 per cell]
Tl: 0.0000 0.5000 0.5000 [2 per cell]
O: 0.0000 0.5000 0.0000 [2 per cell]

[5]
## CuAgGe2Pt (PBE-GGA)

Data for CuAgGe2Pt after structural relaxation.

Output
Uncorrected energy (eV per cell): -19.61
Formation enthalpy at 0 K (eV per atom): 0.522
Density of states at the Fermi level (states/eV/cell): 2.2

a = 4.5115 Å, b = 4.5115 Å, c = 4.8352 Å
α = 90.00°, β = 90.00°, γ = 90.00°
Space group P4/mmm (No. 123)
Inequivalent atoms, fractional coordinates:
Cu: 0.0000 0.0000 0.0000 [1 per cell]
Ag: 0.5000 0.5000 0.5000 [1 per cell]
Ge: 0.0000 0.5000 0.0000 [2 per cell]
Pt: 0.0000 0.0000 0.5000 [1 per cell]

[6]
## Y8SnIr2 (PBE-GGA)

Data for Y8SnIr2 after structural relaxation.

Output
Uncorrected energy (eV per cell): -157.39
Formation enthalpy at 0 K (eV per atom): -0.478
Density of states at the Fermi level (states/eV/cell): 25.3

a = 8.7869 Å, b = 13.2506 Å, c = 5.4754 Å
α = 90.00°, β = 103.81°, γ = 90.00°
Space group Cm (No. 8)
Inequivalent atoms, fractional coordinates:
Y: 0.0000 0.0000 0.0000 [2 per cell]
Y: 0.0887 0.3704 0.7788 [4 per cell]
Y: 0.1877 0.1295 0.6224 [4 per cell]
Y: 0.2756 0.5000 0.4003 [2 per cell]
Y: 0.3884 0.2463 0.2003 [4 per cell]
Sn: 0.3878 0.0000 0.1995 [2 per cell]
Ir: 0.3880 0.3094 0.7001 [4 per cell]

[7]
## IrC2O (PBE-GGA)

Data for IrC2O after structural relaxation.

Output
Uncorrected energy (eV per cell): -107.73
Formation energy without anion corrections (eV per formula unit): 5.33
Density of states at the Fermi level (states/eV/cell): 10.0

a = 4.5178 Å, b = 4.5178 Å, c = 8.3973 Å
α = 90.00°, β = 90.00°, γ = 90.00°
Space group I-42d (No. 122)
Inequivalent atoms, fractional coordinates:
Ir: 0.0000 0.0000 0.0000 [4 per cell]
C: 0.2326 0.2500 0.6250 [8 per cell]
O: 0.0000 0.0000 0.5000 [4 per cell]

[8]
## Ac2Pm2Pr4Y (PBE-GGA)

Data for Ac2Pm2Pr4Y after structural relaxation.

Output
Uncorrected energy (eV per cell): -86.04
Formation enthalpy at 0 K (eV per atom): 0.031
Density of states at the Fermi level (states/eV/cell): 24.2

a = 19.5190 Å, b = 3.7815 Å, c = 10.1144 Å
α = 90.00°, β = 115.58°, γ = 90.00°
Space group C2/m (No. 12)
Inequivalent atoms, fractional coordinates:
Ac: 0.1468 0.0000 0.1687 [4 per cell]
Pm: 0.1650 0.5000 0.5034 [4 per cell]
Pr: 0.0175 0.5000 0.8198 [4 per cell]
Pr: 0.1833 0.0000 0.8283 [4 per cell]
Y: 0.0000 0.0000 0.5000 [2 per cell]

- The lowest uncorrected energy belongs to which entry?
  Y8SnIr2